No. 1
# PBE-GGA Ti2InH, optimized geometry
# DFT total energy = -5.574 eV per atom
# Mass density = 5830 kg/m³
# M_tot = 0.000 μB per atom
# V = 60.3 Å³ per cell
# Crystal system = monoclinic
data_Ti2InH
_chemical_formula_sum 'Ti2 In1 H1'
_cell_length_a 4.6927
_cell_length_b 2.9575
_cell_length_c 4.8619
_cell_angle_alpha 90.00
_cell_angle_beta 116.75
_cell_angle_gamma 90.00
_space_group_name_H-M_alt 'P 1 m 1'
_space_group_IT_number 6
loop_
_space_group_symop_operation_xyz
'x,y,z'
'x,-y,z'
loop_
_atom_site_label
_atom_site_type_symbol
_atom_site_fract_x
_atom_site_fract_y
_atom_site_fract_z
Ti1 Ti 0.0000 0.0000 0.0000
Ti2 Ti 0.3095 0.5000 0.7005
In1 In 0.6590 0.5000 0.3478
H1 H 0.5686 0.0000 0.8036

No. 2
# PBE-GGA Cd2BAs, optimized geometry
# DFT total energy = -2.352 eV per atom
# Mass density = 6822 kg/m³
# DFT formation energy = 0.9377 eV per atom
# M_tot = 0.000 μB per atom
# V = 302.4 Å³ per cell
# Crystal system = cubic
data_Cd2BAs
_chemical_formula_sum 'Cd8 B4 As4'
_cell_length_a 6.7119
_cell_length_b 6.7119
_cell_length_c 6.7119
_cell_angle_alpha 90.00
_cell_angle_beta 90.00
_cell_angle_gamma 90.00
_space_group_name_H-M_alt 'F m -3 m'
_space_group_IT_number 225
_space_group_name_Hall '-F 4 2 3'
loop_
_atom_site_label
_atom_site_type_symbol
_atom_site_fract_x
_atom_site_fract_y
_atom_site_fract_z
Cd1 Cd 0.2500 0.2500 0.2500
B1 B 0.0000 0.0000 0.0000
As1 As 0.0000 0.0000 0.5000

No. 3
# PBE-GGA Nb2GaMoN, optimized geometry
# DFT total energy = -8.867 eV per atom
# Mass density = 8122 kg/m³
# M_tot = 0.000 μB per atom
# V = 74.7 Å³ per cell
# Formation energy from raw total energies = -0.402 eV per atom
# Crystal system = tetragonal
data_Nb2GaMoN
_chemical_formula_sum 'Nb2 Ga1 Mo1 N1'
_cell_length_a 4.2635
_cell_length_b 4.2635
_cell_length_c 4.1109
_cell_angle_alpha 90.00
_cell_angle_beta 90.00
_cell_angle_gamma 90.00
_space_group_name_H-M_alt 'P 4/m m m'
_space_group_IT_number 123
_space_group_name_Hall '-P 4 2'
loop_
_atom_site_label
_atom_site_type_symbol
_atom_site_fract_x
_atom_site_fract_y
_atom_site_fract_z
Nb1 Nb 0.0000 0.5000 0.0000
Ga1 Ga 0.0000 0.0000 0.5000
Mo1 Mo 0.5000 0.5000 0.5000
N1 N 0.5000 0.5000 0.0000

No. 4
# PBE-GGA Pm4GeTeAs2, optimized geometry
# DFT total energy = -5.863 eV per atom
# Mass density = 6840 kg/m³
# M_tot = 0.000 μB per atom
# V = 225.8 Å³ per cell
# Formation energy from raw total energies = -1.356 eV per atom
# Crystal system = monoclinic
data_Pm4GeTeAs2
_chemical_formula_sum 'Pm4 Ge1 Te1 As2'
_cell_length_a 7.4727
_cell_length_b 4.2725
_cell_length_c 7.4813
_cell_angle_alpha 90.00
_cell_angle_beta 109.04
_cell_angle_gamma 90.00
_space_group_name_H-M_alt 'P 1 2/m 1'
_space_group_IT_number 10
loop_
_space_group_symop_operation_xyz
'x,y,z'
'-x,-y,-z'
'-x,y,-z'
'x,-y,z'
loop_
_atom_site_label
_atom_site_type_symbol
_atom_site_fract_x
_atom_site_fract_y
_atom_site_fract_z
Pm1 Pm 0.2353 0.0000 0.2330
Pm2 Pm 0.2426 0.5000 0.7554
Ge1 Ge 0.5000 0.0000 0.0000
Te1 Te 0.5000 0.5000 0.5000
As1 As 0.0000 0.0000 0.5000
As2 As 0.0000 0.5000 0.0000